The following is a PBE calculation of a relaxed V2Rh5W crystal, from Alexandria.

It has space group Pbam (No. 55), with a = 5.428 Å, b = 10.865 Å, c = 3.837 Å, α = 90.00°, β = 90.00° and γ = 90.00°. Symmetry generates all atoms from V at (0.236, 0.129, 0.000), Rh at (0.000, 0.000, 0.500), Rh at (0.012, 0.748, 0.500), Rh at (0.243, 0.378, 0.000) and W at (0.000, 0.500, 0.500).

As for the total magnetic moment: 0.00 μB per cell. Its crystal system is orthorhombic. For the formation energy, the calculation gives -237 kJ/mol of formula units.